Crystalline Ce2TlAg at its relaxed geometry, computed with PBE.

a b c (Å): 7.636 7.636 7.636
angles (deg): 90.00 90.00 90.00
Space group Fm-3m (No. 225)
Asymmetric unit:
1 Ce 0.250 0.250 0.250 (multiplicity 8)
2 Tl 0.000 0.000 0.000 (multiplicity 4)
3 Ag 0.000 0.000 0.500 (multiplicity 4)

Computed properties:
N(E_F) = 67.64 states/eV per cell
crystal system = cubic
calculated formation energy = -0.5 eV/f.u.
distance to the lowest polymorph of the same formula = 0.14 eV per formula unit